[1]
A plane-wave DFT calculation with PBEsol was carried out for crystalline TaMnZn2 at its relaxed geometry.

For the density, the calculation gives 10.8 g/cm³. The calculation puts the energy of formation at 0.06 eV/atom. The value obtained for the total moment is 0.00 Bohr magnetons per cell. The calculation puts the relative energy among the computed polymorphs at 0 meV per atom.

It has space group P4mm (No. 99), with a = 3.1083 Å, b = 3.1083 Å, c = 5.8235 Å, α = 90.00°, β = 90.00° and γ = 90.00°. The asymmetric unit holds Ta at (0.0000, 0.0000, 0.0000), Mn at (0.5000, 0.5000, 0.8045), Zn at (0.0000, 0.0000, 0.5333) and Zn at (0.5000, 0.5000, 0.3035).



[2]
A plane-wave DFT calculation with PBEsol was carried out for crystalline TaMnZn2 at its relaxed geometry.

For the density, the calculation gives 10.7 g/cm³. The calculation puts the energy of formation at 0.09 eV/atom. The value obtained for the total moment is 3.06 Bohr magnetons per cell. The calculation puts the relative energy among the computed polymorphs at 23 meV per atom.

It has space group P4/mmm (No. 123), with a = 2.7880 Å, b = 2.7880 Å, c = 7.3386 Å, α = 90.00°, β = 90.00° and γ = 90.00°. The asymmetric unit holds Ta at (0.0000, 0.0000, 0.0000), Mn at (0.0000, 0.0000, 0.5000) and Zn at (0.5000, 0.5000, 0.2697).



[3]
A plane-wave DFT calculation with PBEsol was carried out for crystalline TaMnZn at its relaxed geometry.

For the density, the calculation gives 10.2 g/cm³. The calculation puts the energy of formation at 0.77 eV/atom. The value obtained for the total moment is 10.89 Bohr magnetons per cell.

It has space group F-43m (No. 216), with a = 5.8134 Å, b = 5.8134 Å, c = 5.8134 Å, α = 90.00°, β = 90.00° and γ = 90.00°. The asymmetric unit holds Ta at (0.0000, 0.0000, 0.0000), Mn at (0.0000, 0.0000, 0.5000) and Zn at (0.2500, 0.2500, 0.7500).



[4]
A plane-wave DFT calculation with PBEsol was carried out for crystalline TaMnZn2 at its relaxed geometry.

For the density, the calculation gives 10.9 g/cm³. The calculation puts the energy of formation at 0.10 eV/atom. The value obtained for the total moment is 2.02 Bohr magnetons per cell. The calculation puts the relative energy among the computed polymorphs at 39 meV per atom.

It has space group P2/m (No. 10), with a = 2.7136 Å, b = 3.8549 Å, c = 5.3550 Å, α = 90.00°, β = 90.10° and γ = 90.00°. The asymmetric unit holds Ta at (0.0000, 0.0000, 0.0000), Mn at (0.0000, 0.0000, 0.5000) and Zn at (0.4994, 0.5000, 0.7311).



[5]
A plane-wave DFT calculation with PBEsol was carried out for crystalline ZrTaMn3 at its relaxed geometry.

For the density, the calculation gives 8.1 g/cm³. The calculation puts the energy of formation at 1.18 eV/atom. The value obtained for the total moment is 5.52 Bohr magnetons per cell.

It has space group Pm-3m (No. 221), with a = 4.4771 Å, b = 4.4771 Å, c = 4.4771 Å, α = 90.00°, β = 90.00° and γ = 90.00°. The asymmetric unit holds Zr at (0.0000, 0.0000, 0.0000), Ta at (0.5000, 0.5000, 0.5000) and Mn at (0.0000, 0.5000, 0.5000).



[6]
A plane-wave DFT calculation with PBEsol was carried out for crystalline TbMn12 at its relaxed geometry.

For the density, the calculation gives 9.0 g/cm³. The calculation puts the energy of formation at 0.02 eV/atom. The value obtained for the total moment is 0.01 Bohr magnetons per cell.

It has space group I4/mmm (No. 139), with a = 8.1719 Å, b = 8.1719 Å, c = 4.5011 Å, α = 90.00°, β = 90.00° and γ = 90.00°. The asymmetric unit holds Tb at (0.0000, 0.0000, 0.0000), Mn at (0.0000, 0.2264, 0.5000), Mn at (0.0000, 0.3647, 0.0000) and Mn at (0.2500, 0.2500, 0.2500).



[7]
A plane-wave DFT calculation with PBEsol was carried out for crystalline MnTc at its relaxed geometry.

For the density, the calculation gives 10.3 g/cm³. The calculation puts the energy of formation at 0.13 eV/atom. The value obtained for the total moment is 2.31 Bohr magnetons per cell.

It has space group I4_1/amd (No. 141, origin choice 2), with a = 3.6454 Å, b = 3.6454 Å, c = 7.4105 Å, α = 90.00°, β = 90.00° and γ = 90.00°. The asymmetric unit holds Mn at (0.0000, 0.2500, 0.3750) and Tc at (0.0000, 0.2500, 0.8750).



[8]
A plane-wave DFT calculation with PBEsol was carried out for crystalline MnTc at its relaxed geometry.

For the density, the calculation gives 7.3 g/cm³. The calculation puts the energy of formation at 1.57 eV/atom. The value obtained for the total moment is 0.00 Bohr magnetons per cell.

It has space group F-43m (No. 216), with a = 5.1768 Å, b = 5.1768 Å, c = 5.1768 Å, α = 90.00°, β = 90.00° and γ = 90.00°. The asymmetric unit holds Mn at (0.0000, 0.0000, 0.0000) and Tc at (0.2500, 0.2500, 0.7500).



[9]
A plane-wave DFT calculation with PBEsol was carried out for crystalline MnTc8 at its relaxed geometry.

For the density, the calculation gives 11.3 g/cm³. The calculation puts the energy of formation at 0.09 eV/atom. The value obtained for the total moment is 1.22 Bohr magnetons per cell.

It has space group I4/mmm (No. 139), with a = 8.0492 Å, b = 8.0492 Å, c = 3.7918 Å, α = 90.00°, β = 90.00° and γ = 90.00°. The asymmetric unit holds Mn at (0.0000, 0.0000, 0.0000), Tc at (0.0000, 0.3274, 0.0000) and Tc at (0.1623, 0.1623, 0.5000).



[10]
A plane-wave DFT calculation with PBEsol was carried out for crystalline MnTc3 at its relaxed geometry.

For the density, the calculation gives 11.0 g/cm³. The calculation puts the energy of formation at 0.07 eV/atom. The value obtained for the total moment is 0.01 Bohr magnetons per cell.

It has space group Imm2 (No. 44), with a = 2.6792 Å, b = 8.5516 Å, c = 4.5845 Å, α = 90.00°, β = 90.00° and γ = 90.00°. The asymmetric unit holds Mn at (0.0000, 0.0000, 0.0000), Tc at (0.0000, 0.2621, 0.6580) and Tc at (0.0000, 0.5000, 0.0081).



[11]
A plane-wave DFT calculation with PBEsol was carried out for crystalline Mn3Tc4 at its relaxed geometry.

For the density, the calculation gives 10.6 g/cm³. The calculation puts the energy of formation at -0.02 eV/atom. The value obtained for the total moment is 0.01 Bohr magnetons per cell.

It has space group P6/mmm (No. 191), with a = 4.5928 Å, b = 4.5928 Å, c = 4.7613 Å, α = 90.00°, β = 90.00° and γ = 120.00°. The asymmetric unit holds Mn at (0.0000, 0.5000, 0.0000), Tc at (0.0000, 0.0000, 0.2566) and Tc at (0.3333, 0.6667, 0.5000).



[12]
A plane-wave DFT calculation with PBEsol was carried out for crystalline MnTc at its relaxed geometry.

For the density, the calculation gives 10.4 g/cm³. The calculation puts the energy of formation at 0.07 eV/atom. The value obtained for the total moment is 0.00 Bohr magnetons per cell.

It has space group P2_1/m (No. 11), with a = 2.6125 Å, b = 3.9665 Å, c = 4.8943 Å, α = 90.00°, β = 105.37° and γ = 90.00°. The asymmetric unit holds Mn at (0.0563, 0.2500, 0.1159) and Tc at (0.3273, 0.2500, 0.6523).